1.
DFT (GGA-PBE) results for a relaxed structure of LaDyY4.

Results
Its density of states at the Fermi level is 19.34 states/eV per cell. The calculation puts the volume at 32.81 A^3/atom. The formation energy is 0.065 eV per atom.

Unit cell a=5.7163 b=9.9063 c=6.9534 alpha=90.00 beta=90.01 gamma=90.00
With the nearest neighbours (Å) after each atom.
Space group C2/m (No. 12)
Asymmetric unit:
La1 0.0000 0.0000 0.0000  2 Dy 3.48, 12 Y 3.74-3.75
Dy1 0.0000 0.0000 0.5000  2 La 3.48, 12 Y 3.71-3.72
Y1 0.0009 0.3335 0.2548  5 Y 3.30-3.54

=====

2.
DFT (GGA-PBE) results for a relaxed structure of Th2Pa3Co2.

Results
Its density of states at the Fermi level is 10.68 states/eV per cell. The calculation puts the volume at 23.38 A^3/atom. The formation energy is -0.231 eV per atom.

Unit cell a=3.5722 b=5.9583 c=8.6038 alpha=109.55 beta=90.12 gamma=107.32
With the nearest neighbours (Å) after each atom.
Space group P-1 (No. 2)
Asymmetric unit:
Th1 0.1672 0.3370 0.3047  3 Co 3.00-3.28
Pa1 0.3815 0.7611 0.0636  2 Co 2.62-2.64
Pa2 0.5000 0.0000 0.5000  4 Co 2.60
Co1 0.1255 0.2490 0.7141  4 Pa 2.60-2.64

=====

3.
DFT (GGA-PBE) results for a relaxed structure of TaTc2Os.

Results
Its density of states at the Fermi level is 19.66 states/eV per cell. The calculation puts the volume at 23.12 A^3/atom. The formation energy is 1.572 eV per atom.

Unit cell a=5.7014 b=5.7014 c=11.3780 alpha=90.00 beta=90.00 gamma=90.00
With the nearest neighbours (Å) after each atom.
Space group I-42d (No. 122)
Asymmetric unit:
Ta1 0.0000 0.0000 0.0000  4 Tc 2.54
Tc1 0.2276 0.2500 0.6250  2 Os 2.40, 2 Ta 2.54
Os1 0.0000 0.0000 0.5000  4 Tc 2.40

=====

4.
DFT (GGA-PBE) results for a relaxed structure of Tb4TlZn.

Results
Its density of states at the Fermi level is 9.59 states/eV per cell. The calculation puts the volume at 31.04 A^3/atom. The formation energy is 0.000 eV per atom.

Unit cell a=5.0407 b=5.0407 c=7.3305 alpha=90.00 beta=90.00 gamma=90.00
With the nearest neighbours (Å) after each atom.
Space group P4/mmm (No. 123)
Asymmetric unit:
Tb1 0.0000 0.5000 0.2339  2 Zn 3.05, 2 Tl 3.19
Tl1 0.0000 0.0000 0.5000  8 Tb 3.19
Zn1 0.5000 0.5000 0.0000  8 Tb 3.05

=====

no.,calculated density (g cm⁻³)
1,5.54
2,12.93
3,10.19
4,8.07